1.
Here is a geometry-optimized Cs2TlSbI6 structure from Alexandria via LeMat-Bulk. Energies are from GGA-PBE.

```
Cs2TlSbI6
1.0
8.730 0.000 0.000
0.000 9.158 0.000
-8.730 0.000 12.659
Cs Tl Sb I
4 2 2 12
Cartesian
-0.201 0.656 3.150 Cs
-4.566 3.922 9.480 Cs
4.566 5.235 3.179 Cs
0.201 8.501 9.509 Cs
4.365 0.000 0.000 Tl
0.000 4.579 6.330 Tl
-4.365 0.000 6.330 Sb
0.000 4.579 0.000 Sb
-7.127 2.013 12.186 I
-2.762 2.565 5.857 I
-6.237 6.277 12.159 I
-1.872 7.459 5.830 I
-3.696 0.088 9.304 I
0.669 4.491 2.974 I
-0.670 4.667 9.685 I
3.695 9.069 3.355 I
1.872 1.698 6.830 I
6.237 2.880 0.500 I
2.762 6.592 6.803 I
7.127 7.144 0.473 I
```

Output
- Size of the total moment: 0.00 μB/atom
- Formation energy from raw total energies: -0.913 eV/atom
- Electronic total energy: -2.663 eV/atom

---

2.
Here is a geometry-optimized CsTlSb2I structure from Alexandria via LeMat-Bulk. Energies are from GGA-PBE.

```
CsTlSb2I
1.0
6.547 0.000 0.000
0.000 6.547 0.000
0.000 0.000 7.018
Cs Tl Sb I
1 1 2 1
Cartesian
0.000 0.000 0.000 Cs
3.273 3.273 3.509 Tl
0.000 3.273 0.000 Sb
3.273 0.000 0.000 Sb
0.000 0.000 3.509 I
```

Output
- Size of the total moment: 0.48 μB/atom
- Formation energy from raw total energies: 0.705 eV/atom
- Electronic total energy: -1.898 eV/atom

---

3.
Here is a geometry-optimized Cs2TlSbI6 structure from Alexandria via LeMat-Bulk. Energies are from GGA-PBE.

```
Cs2TlSbI6
1.0
0.000 6.357 6.357
6.357 0.000 6.357
6.357 6.357 0.000
Cs Tl Sb I
2 1 1 6
Cartesian
3.179 3.179 3.179 Cs
9.536 9.536 9.536 Cs
0.000 0.000 0.000 Tl
6.357 6.357 6.357 Sb
6.357 6.357 3.325 I
6.357 3.325 6.357 I
9.390 6.357 6.357 I
3.325 6.357 6.357 I
6.357 9.390 6.357 I
6.357 6.357 9.390 I
```

Output
- Size of the total moment: 0.00 μB/atom
- Formation energy from raw total energies: -0.897 eV/atom
- Electronic total energy: -2.647 eV/atom

---

4.
Here is a geometry-optimized CsTlSb2I structure from Alexandria via LeMat-Bulk. Energies are from GGA-PBE.

```
CsTlSb2I
1.0
5.788 0.000 0.000
0.000 5.788 0.000
0.000 0.000 7.068
Cs Tl Sb I
1 1 2 1
Cartesian
0.000 0.000 0.000 Cs
2.894 2.894 3.534 Tl
0.000 2.894 3.534 Sb
2.894 0.000 3.534 Sb
2.894 2.894 0.000 I
```

Output
- Size of the total moment: 0.26 μB/atom
- Formation energy from raw total energies: 0.023 eV/atom
- Electronic total energy: -2.580 eV/atom

---

5.
Here is a geometry-optimized Cs2TlSbI structure from Alexandria via LeMat-Bulk. Energies are from GGA-PBE.

```
Cs2TlSbI
1.0
7.398 0.000 0.000
0.000 7.398 0.000
0.000 0.000 6.218
Cs Tl Sb I
2 1 1 1
Cartesian
0.000 3.699 0.000 Cs
3.699 0.000 0.000 Cs
0.000 0.000 3.109 Tl
3.699 3.699 0.000 Sb
3.699 3.699 3.109 I
```

Output
- Size of the total moment: 0.21 μB/atom
- Formation energy from raw total energies: -0.033 eV/atom
- Electronic total energy: -1.983 eV/atom

---

6.
Here is a geometry-optimized CsVSb2I structure from Alexandria via LeMat-Bulk. Energies are from GGA-PBE.

```
CsVSb2I
1.0
5.192 0.000 0.000
0.000 5.192 0.000
0.000 0.000 6.522
Cs V Sb I
1 1 2 1
Cartesian
0.000 0.000 0.000 Cs
2.596 2.596 3.261 V
0.000 2.596 3.261 Sb
2.596 0.000 3.261 Sb
2.596 2.596 0.000 I
```

Output
- Size of the total moment: 0.15 μB/atom
- Formation energy from raw total energies: -0.205 eV/atom
- Electronic total energy: -4.158 eV/atom

---

7.
Here is a geometry-optimized CsVSbI2 structure from Alexandria via LeMat-Bulk. Energies are from GGA-PBE.

```
CsVSbI2
1.0
5.939 0.000 0.000
0.000 5.939 0.000
0.000 0.000 5.277
Cs V Sb I
1 1 1 2
Cartesian
0.000 0.000 0.000 Cs
2.970 2.970 2.639 V
2.970 2.970 0.000 Sb
0.000 2.970 2.639 I
2.970 0.000 2.639 I
```

Output
- Size of the total moment: 0.25 μB/atom
- Formation energy from raw total energies: -0.377 eV/atom
- Electronic total energy: -3.816 eV/atom

---

8.
Here is a geometry-optimized CsVSbI6 structure from Alexandria via LeMat-Bulk. Energies are from GGA-PBE.

```
CsVSbI6
1.0
7.690 0.000 0.000
-3.845 6.660 0.000
0.000 0.000 8.693
Cs V Sb I
1 1 1 6
Cartesian
0.000 0.000 0.000 Cs
3.845 2.220 4.346 V
0.000 4.440 4.346 Sb
2.848 0.142 2.673 I
1.547 2.396 6.020 I
4.842 0.142 6.020 I
2.544 4.123 2.673 I
6.144 2.396 2.673 I
5.146 4.123 6.020 I
```

Output
- Size of the total moment: 0.33 μB/atom
- Formation energy from raw total energies: -0.638 eV/atom
- Electronic total energy: -3.238 eV/atom